Entry 1:
Compound: BOsPd
Source: the Alexandria database
Functional: PBE
Structure: relaxed

Calculated values
Crystal system: trigonal
DOS(E_F): 3.5 states/eV/cell
V: 13.48 A^3/atom
E_tot: -7.60 eV per atom

a = 3.555 Å, b = 3.555 Å, c = 7.668 Å
α = 76.60°, β = 76.60°, γ = 60.00°
Positions (direct):
Pd: 0.124 0.124 0.627
Pd: 0.876 0.876 0.373
Os: 0.709 0.709 0.874
B: 0.609 0.609 0.174
Os: 0.291 0.291 0.126
B: 0.391 0.391 0.826

Entry 2:
Compound: B2Os2Pd
Source: the Alexandria database
Functional: PBE
Structure: relaxed

Calculated values
Crystal system: tetragonal
DOS(E_F): 8.9 states/eV/cell
V: 11.16 A^3/atom
E_tot: -7.99 eV per atom

a = 6.330 Å, b = 6.330 Å, c = 2.785 Å
α = 90.00°, β = 90.00°, γ = 90.00°
Positions (direct):
Os: 0.350 0.150 0.500
B: 0.858 0.642 0.000
Pd: 0.000 0.000 0.000
Os: 0.850 0.350 0.500
Os: 0.650 0.850 0.500
B: 0.358 0.858 0.000
B: 0.642 0.142 0.000
B: 0.142 0.358 0.000
Os: 0.150 0.650 0.500
Pd: 0.500 0.500 0.000

Entry 3:
Compound: BOsPd2
Source: the Alexandria database
Functional: PBE
Structure: relaxed

Calculated values
Crystal system: tetragonal
DOS(E_F): 11.1 states/eV/cell
V: 13.50 A^3/atom
E_tot: -6.58 eV per atom

a = 6.713 Å, b = 6.713 Å, c = 5.318 Å
α = 50.86°, β = 50.86°, γ = 90.00°
Positions (direct):
Os: 0.750 0.250 0.500
Os: 0.000 0.000 0.000
Pd: 0.875 0.789 0.750
Pd: 0.211 0.625 0.250
Pd: 0.375 0.461 0.750
B: 0.250 0.750 0.500
B: 0.500 0.500 0.000
Pd: 0.539 0.125 0.250